First-principles (PBE) data for an optimized crystal structure of Ca4PmCd2, as listed in the Alexandria database.

Cell: 8.709 8.709 8.709 Å, 38.38 38.38 38.38°
Atoms (fractional coordinates):
Ca: 0.071 0.071 0.071
Ca: 0.228 0.228 0.228
Ca: 0.772 0.772 0.772
Ca: 0.929 0.929 0.929
Pm: 0.500 0.500 0.500
Cd: 0.368 0.368 0.368
Cd: 0.632 0.632 0.632

Results
Calculated volume in Å³/f.u.: 228.8
Final energy in eV per atom: -2.14